CsInNF2 | GGA-PBE | optimized geometry

CIF file:
```
data_CsInNF2
_chemical_formula_sum 'Cs1 In1 N1 F2'
_cell_length_a 4.693
_cell_length_b 4.693
_cell_length_c 4.145
_cell_angle_alpha 90.00
_cell_angle_beta 90.00
_cell_angle_gamma 90.00
_symmetry_space_group_name_H-M 'P 1'
_symmetry_Int_Tables_number 1
_symmetry_space_group_name_Hall 'P 1'
loop_
_atom_site_label
_atom_site_fract_x
_atom_site_fract_y
_atom_site_fract_z
Cs1 0.500 0.500 0.500
N1 0.000 0.000 0.500
F1 0.000 0.500 0.000
F2 0.500 0.000 0.000
In1 0.000 0.000 0.000
```

Properties
DFT total energy in eV per cell: -21.9
ΔE to the lowest computed polymorph in eV/atom: 0.0000
Total moment in μB per atom: 0.200
Formation energy from raw total energies in eV per atom: -1.255
N(E_F) in states/eV/atom: 0.550